# 1
This record from Alexandria describes a relaxed AsPt2Au crystal. The functional is GGA-PBE.

Unit cell a=4.6697 b=3.0470 c=5.1029 alpha=90.00 beta=111.34 gamma=90.00
With the nearest neighbours (Å) after each atom.
Space group P2/m (No. 10)
Symmetry-distinct sites (fractional):
As 0.0000 0.0000 0.0000 [1 per cell]  6 Pt 2.76-2.79, 4 Au 2.97, 2 As 3.05
Pt 0.5000 0.0000 0.5000 [1 per cell]  2 As 2.76, 4 Au 2.79, 6 Pt 2.97-3.05
Pt 0.5000 0.5000 0.0000 [1 per cell]  2 Au 2.76, 4 As 2.79, 6 Pt 2.97-3.05
Au 0.0000 0.5000 0.5000 [1 per cell]  6 Pt 2.76-2.79, 4 As 2.97, 2 Au 3.05

Computed properties:
formation enthalpy at 0 K	0.076	eV/atom
uncorrected energy	-19.7	eV per cell


# 2
This record from Alexandria describes a relaxed CeHgBi2 crystal. The functional is GGA-PBE.

Unit cell a=4.8661 b=4.8661 c=19.7171 alpha=90.00 beta=90.00 gamma=120.00
With the nearest neighbours (Å) after each atom.
Space group R3m (No. 160, hexagonal axes)
Symmetry-distinct sites (fractional):
Ce 0.0000 0.0000 0.0000 [3 per cell]  6 Bi 3.21-3.22, 1 Hg 3.34
Hg 0.0000 0.0000 0.8308 [3 per cell]  6 Bi 3.28-3.32, 1 Ce 3.34
Bi 0.0000 0.0000 0.4119 [3 per cell]  3 Ce 3.21, 3 Hg 3.28, 1 Bi 3.46
Bi 0.0000 0.0000 0.5873 [3 per cell]  3 Ce 3.22, 3 Hg 3.32, 1 Bi 3.46

Computed properties:
ΔE to the lowest computed polymorph	280	meV per atom
formation enthalpy at 0 K	-0.181	eV/atom
uncorrected energy	-44.2	eV per cell


# 3
This record from Alexandria describes a relaxed MnHg2 crystal. The functional is GGA-PBE.

Unit cell a=7.9964 b=3.2194 c=10.2289 alpha=90.00 beta=90.00 gamma=90.00
With the nearest neighbours (Å) after each atom.
Space group Pnma (No. 62)
Symmetry-distinct sites (fractional):
Mn 0.0600 0.2500 0.0393 [4 per cell]  2 Mn 2.04
Hg 0.0021 0.7500 0.2517 [4 per cell]  3 Mn 2.74-3.02
Hg 0.1736 0.2500 0.4790 [4 per cell]  2 Mn 2.74

Computed properties:
formation enthalpy at 0 K	0.492	eV/atom
uncorrected energy	-33.2	eV per cell